[1]
Crystalline Li2PtSe at its relaxed geometry. Source: Alexandria, functional PBE.

The uncorrected formation energy is -51.5 kJ per mole of atoms.

The space group is R-3m (No. 166, hexagonal axes) and the conventional cell measures 2.9619, 2.9619 and 24.1383 Å, with angles of 90.00, 90.00 and 120.00 degrees. The distinct sites, in fractional coordinates, are Li at (0.0000, 0.0000, 0.2485), Pt at (0.0000, 0.0000, 0.0000) and Se at (0.0000, 0.0000, 0.5000).

=====

[2]
Crystalline Gd2FeRu at its relaxed geometry. Source: Alexandria, functional PBE.

For the formation energy, the calculation gives 0.007 eV/atom.

The space group is P4/mmm (No. 123) and the conventional cell measures 3.418, 3.418 and 7.082 Å, with angles of 90.00, 90.00 and 90.00 degrees. The distinct sites, in fractional coordinates, are Gd at (0.000, 0.000, 0.241), Fe at (0.500, 0.500, 0.500) and Ru at (0.500, 0.500, 0.000).

=====

[3]
Crystalline CdFe2Cl at its relaxed geometry. Source: Alexandria, functional PBE.

The uncorrected formation energy is 51.7 kJ per mole of atoms. The offset from the most stable computed form is 454 meV/atom.

The space group is Cmmm (No. 65) and the conventional cell measures 5.551, 8.412 and 2.896 Å, with angles of 90.00, 90.00 and 90.00 degrees. The distinct sites, in fractional coordinates, are Cd at (0.000, 0.000, 0.000), Fe at (0.250, 0.250, 0.500) and Cl at (0.000, 0.500, 0.000).

=====

Spin magnetization per entry: 0.000; 4.047; 1.586 μB per atom